Model P:
# CrOsRu2 | Alexandria via LeMat-Bulk | meta-GGA SCAN | PBEsol geometry
# - calculated volume (A^3/atom) = 13.05
# - total magnetization (μB/cell) = 0.00
data_CrOsRu2
_chemical_formula_sum 'Cr1 Os1 Ru2'
_cell_length_a 2.650
_cell_length_b 2.650
_cell_length_c 7.432
_cell_angle_alpha 90.00
_cell_angle_beta 90.00
_cell_angle_gamma 90.00
_space_group_name_H-M_alt 'P 4 m m'
_space_group_IT_number 99
_space_group_name_Hall 'P 4 -2'
loop_
_atom_site_label
_atom_site_fract_x
_atom_site_fract_y
_atom_site_fract_z
Cr1 0.000 0.000 0.000
Os1 0.500 0.500 0.245
Ru1 0.000 0.000 0.503
Ru2 0.500 0.500 0.764

---

Model Q:
# CrOsRu2 | Alexandria via LeMat-Bulk | meta-GGA SCAN | PBEsol geometry
# - calculated volume (A^3/atom) = 13.23
# - total magnetization (μB/cell) = 2.70
data_CrOsRu2
_chemical_formula_sum 'Cr2 Os2 Ru4'
_cell_length_a 2.761
_cell_length_b 4.303
_cell_length_c 8.909
_cell_angle_alpha 90.00
_cell_angle_beta 90.00
_cell_angle_gamma 90.00
_space_group_name_H-M_alt 'I m m m'
_space_group_IT_number 71
_space_group_name_Hall '-I 2 2'
loop_
_atom_site_label
_atom_site_fract_x
_atom_site_fract_y
_atom_site_fract_z
Cr1 0.000 0.000 0.000
Os1 0.000 0.000 0.500
Ru1 0.000 0.500 0.278

---

Calculated relative energies: model P 0; model Q 166, given in meV per atom

---

Model P:
# ScCrOs2 | Alexandria via LeMat-Bulk | meta-GGA SCAN | PBEsol geometry
# - calculated volume (A^3/atom) = 14.62
# - total magnetization (μB/cell) = 0.00
data_ScCrOs2
_chemical_formula_sum 'Sc1 Cr1 Os2'
_cell_length_a 2.777
_cell_length_b 4.067
_cell_length_c 5.340
_cell_angle_alpha 90.00
_cell_angle_beta 104.12
_cell_angle_gamma 90.00
_space_group_name_H-M_alt 'P 1 2/m 1'
_space_group_IT_number 10
_space_group_name_Hall '-P 2y'
loop_
_atom_site_label
_atom_site_fract_x
_atom_site_fract_y
_atom_site_fract_z
Sc1 0.000 0.000 0.000
Cr1 0.500 0.000 0.500
Os1 0.325 0.500 0.724

---

Model Q:
# ScCrOs2 | Alexandria via LeMat-Bulk | meta-GGA SCAN | PBEsol geometry
# - calculated volume (A^3/atom) = 14.30
# - total magnetization (μB/cell) = 0.00
data_ScCrOs2
_chemical_formula_sum 'Sc4 Cr4 Os8'
_cell_length_a 6.117
_cell_length_b 6.117
_cell_length_c 6.117
_cell_angle_alpha 90.00
_cell_angle_beta 90.00
_cell_angle_gamma 90.00
_space_group_name_H-M_alt 'F -4 3 m'
_space_group_IT_number 216
_space_group_name_Hall 'F -4 2 3'
loop_
_atom_site_label
_atom_site_fract_x
_atom_site_fract_y
_atom_site_fract_z
Sc1 0.000 0.000 0.000
Cr1 0.250 0.250 0.750
Os1 0.000 0.000 0.500
Os2 0.250 0.250 0.250

---

Model R:
# ScCrOs2 | Alexandria via LeMat-Bulk | meta-GGA SCAN | PBEsol geometry
# - calculated volume (A^3/atom) = 14.47
# - total magnetization (μB/cell) = 0.01
data_ScCrOs2
_chemical_formula_sum 'Sc2 Cr2 Os4'
_cell_length_a 2.938
_cell_length_b 4.510
_cell_length_c 8.736
_cell_angle_alpha 90.00
_cell_angle_beta 90.00
_cell_angle_gamma 90.00
_space_group_name_H-M_alt 'I m m m'
_space_group_IT_number 71
_space_group_name_Hall '-I 2 2'
loop_
_atom_site_label
_atom_site_fract_x
_atom_site_fract_y
_atom_site_fract_z
Sc1 0.000 0.000 0.000
Cr1 0.000 0.000 0.500
Os1 0.000 0.500 0.225

---

Calculated relative energies: model P 15; model Q 64; model R 0, given in meV per atom

---

Model P:
# SrCrOs2 | Alexandria via LeMat-Bulk | meta-GGA SCAN | PBEsol geometry
# - calculated volume (A^3/atom) = 18.09
# - total magnetization (μB/cell) = 0.00
data_SrCrOs2
_chemical_formula_sum 'Sr1 Cr1 Os2'
_cell_length_a 2.775
_cell_length_b 3.643
_cell_length_c 7.154
_cell_angle_alpha 90.00
_cell_angle_beta 90.00
_cell_angle_gamma 90.00
_space_group_name_H-M_alt 'P m m 2'
_space_group_IT_number 25
_space_group_name_Hall 'P 2 -2'
loop_
_atom_site_label
_atom_site_fract_x
_atom_site_fract_y
_atom_site_fract_z
Sr1 0.000 0.000 0.000
Cr1 0.500 0.500 0.349
Os1 0.000 0.000 0.488
Os2 0.500 0.500 0.684

---

Model Q:
# SrCrOs2 | Alexandria via LeMat-Bulk | meta-GGA SCAN | PBEsol geometry
# - calculated volume (A^3/atom) = 17.65
# - total magnetization (μB/cell) = 5.10
data_SrCrOs2
_chemical_formula_sum 'Sr2 Cr2 Os4'
_cell_length_a 2.847
_cell_length_b 4.985
_cell_length_c 9.950
_cell_angle_alpha 90.00
_cell_angle_beta 90.00
_cell_angle_gamma 90.00
_space_group_name_H-M_alt 'I m m 2'
_space_group_IT_number 44
_space_group_name_Hall 'I 2 -2'
loop_
_atom_site_label
_atom_site_fract_x
_atom_site_fract_y
_atom_site_fract_z
Sr1 0.000 0.000 0.000
Cr1 0.000 0.500 0.788
Os1 0.000 0.000 0.500
Os2 0.000 0.500 0.214

---

Calculated relative energies: model P 0; model Q 92, given in meV per atom

---

Model P:
# TaCrOs | Alexandria via LeMat-Bulk | meta-GGA SCAN | PBEsol geometry
# - calculated volume (A^3/atom) = 17.55
# - total magnetization (μB/cell) = 13.92
data_TaCrOs
_chemical_formula_sum 'Ta4 Cr4 Os4'
_cell_length_a 5.950
_cell_length_b 5.950
_cell_length_c 5.950
_cell_angle_alpha 90.00
_cell_angle_beta 90.00
_cell_angle_gamma 90.00
_space_group_name_H-M_alt 'F -4 3 m'
_space_group_IT_number 216
_space_group_name_Hall 'F -4 2 3'
loop_
_atom_site_label
_atom_site_fract_x
_atom_site_fract_y
_atom_site_fract_z
Ta1 0.000 0.000 0.000
Cr1 0.250 0.250 0.750
Os1 0.250 0.250 0.250

---

Model Q:
# TaCrOs | Alexandria via LeMat-Bulk | meta-GGA SCAN | PBEsol geometry
# - calculated volume (A^3/atom) = 17.33
# - total magnetization (μB/cell) = 10.07
data_TaCrOs
_chemical_formula_sum 'Ta4 Cr4 Os4'
_cell_length_a 5.925
_cell_length_b 5.925
_cell_length_c 5.925
_cell_angle_alpha 90.00
_cell_angle_beta 90.00
_cell_angle_gamma 90.00
_space_group_name_H-M_alt 'F -4 3 m'
_space_group_IT_number 216
_space_group_name_Hall 'F -4 2 3'
loop_
_atom_site_label
_atom_site_fract_x
_atom_site_fract_y
_atom_site_fract_z
Ta1 0.000 0.000 0.000
Cr1 0.000 0.000 0.500
Os1 0.250 0.250 0.750

---

Calculated relative energies: model P 204; model Q 0, given in meV per atom

---

Model P:
# CrTcOs2 | Alexandria via LeMat-Bulk | meta-GGA SCAN | PBEsol geometry
# - calculated volume (A^3/atom) = 13.41
# - total magnetization (μB/cell) = 0.00
data_CrTcOs2
_chemical_formula_sum 'Cr2 Tc2 Os4'
_cell_length_a 3.781
_cell_length_b 3.781
_cell_length_c 7.503
_cell_angle_alpha 90.00
_cell_angle_beta 90.00
_cell_angle_gamma 90.00
_space_group_name_H-M_alt 'I 4/m m m'
_space_group_IT_number 139
_space_group_name_Hall '-I 4 2'
loop_
_atom_site_label
_atom_site_fract_x
_atom_site_fract_y
_atom_site_fract_z
Cr1 0.000 0.000 0.000
Tc1 0.000 0.000 0.500
Os1 0.000 0.500 0.250

---

Model Q:
# CrTcOs2 | Alexandria via LeMat-Bulk | meta-GGA SCAN | PBEsol geometry
# - calculated volume (A^3/atom) = 13.37
# - total magnetization (μB/cell) = 0.00
data_CrTcOs2
_chemical_formula_sum 'Cr1 Tc1 Os2'
_cell_length_a 2.676
_cell_length_b 2.676
_cell_length_c 7.469
_cell_angle_alpha 90.00
_cell_angle_beta 90.00
_cell_angle_gamma 90.00
_space_group_name_H-M_alt 'P 4/m m m'
_space_group_IT_number 123
_space_group_name_Hall '-P 4 2'
loop_
_atom_site_label
_atom_site_fract_x
_atom_site_fract_y
_atom_site_fract_z
Cr1 0.000 0.000 0.000
Tc1 0.000 0.000 0.500
Os1 0.500 0.500 0.239

---

Calculated relative energies: model P 6; model Q 0, given in meV per atom

---

Model P:
# CrTc2Os | Alexandria via LeMat-Bulk | meta-GGA SCAN | PBEsol geometry
# - calculated volume (A^3/atom) = 13.38
# - total magnetization (μB/cell) = 0.00
data_CrTc2Os
_chemical_formula_sum 'Cr1 Tc2 Os1'
_cell_length_a 2.675
_cell_length_b 2.675
_cell_length_c 7.481
_cell_angle_alpha 90.00
_cell_angle_beta 90.00
_cell_angle_gamma 90.00
_space_group_name_H-M_alt 'P 4/m m m'
_space_group_IT_number 123
_space_group_name_Hall '-P 4 2'
loop_
_atom_site_label
_atom_site_fract_x
_atom_site_fract_y
_atom_site_fract_z
Cr1 0.000 0.000 0.000
Tc1 0.500 0.500 0.239
Os1 0.000 0.000 0.500

---

Model Q:
# CrTc2Os | Alexandria via LeMat-Bulk | meta-GGA SCAN | PBEsol geometry
# - calculated volume (A^3/atom) = 13.42
# - total magnetization (μB/cell) = 0.00
data_CrTc2Os
_chemical_formula_sum 'Cr1 Tc2 Os1'
_cell_length_a 3.764
_cell_length_b 3.764
_cell_length_c 3.789
_cell_angle_alpha 90.00
_cell_angle_beta 90.00
_cell_angle_gamma 90.00
_space_group_name_H-M_alt 'P 4/m m m'
_space_group_IT_number 123
_space_group_name_Hall '-P 4 2'
loop_
_atom_site_label
_atom_site_fract_x
_atom_site_fract_y
_atom_site_fract_z
Cr1 0.000 0.000 0.000
Tc1 0.000 0.500 0.500
Os1 0.500 0.500 0.000

---

Model R:
# CrTc2Os | Alexandria via LeMat-Bulk | meta-GGA SCAN | PBEsol geometry
# - calculated volume (A^3/atom) = 13.46
# - total magnetization (μB/cell) = 0.00
data_CrTc2Os
_chemical_formula_sum 'Cr3 Tc6 Os3'
_cell_length_a 2.6845
_cell_length_b 2.6845
_cell_length_c 25.8881
_cell_angle_alpha 90.00
_cell_angle_beta 90.00
_cell_angle_gamma 120.00
_space_group_name_H-M_alt 'R 3 m'
_space_group_IT_number 160
_space_group_name_Hall 'R 3 -2"'
loop_
_atom_site_label
_atom_site_fract_x
_atom_site_fract_y
_atom_site_fract_z
Cr1 0.0000 0.0000 0.0000
Tc1 0.0000 0.0000 0.4995
Tc2 0.0000 0.0000 0.7492
Os1 0.0000 0.0000 0.2546

---

Calculated relative energies: model P 49; model Q 0; model R 37, given in meV per atom

---

Model P:
# TlCrOs2 | Alexandria via LeMat-Bulk | meta-GGA SCAN | PBEsol geometry
# - calculated volume (A^3/atom) = 15.15
# - total magnetization (μB/cell) = 6.89
data_TlCrOs2
_chemical_formula_sum 'Tl4 Cr4 Os8'
_cell_length_a 6.236
_cell_length_b 6.236
_cell_length_c 6.236
_cell_angle_alpha 90.00
_cell_angle_beta 90.00
_cell_angle_gamma 90.00
_space_group_name_H-M_alt 'F m -3 m'
_space_group_IT_number 225
_space_group_name_Hall '-F 4 2 3'
loop_
_atom_site_label
_atom_site_fract_x
_atom_site_fract_y
_atom_site_fract_z
Tl1 0.000 0.000 0.000
Cr1 0.000 0.000 0.500
Os1 0.250 0.250 0.250

---

Model Q:
# TlCrOs2 | Alexandria via LeMat-Bulk | meta-GGA SCAN | PBEsol geometry
# - calculated volume (A^3/atom) = 15.43
# - total magnetization (μB/cell) = 3.22
data_TlCrOs2
_chemical_formula_sum 'Tl1 Cr1 Os2'
_cell_length_a 2.964
_cell_length_b 4.492
_cell_length_c 4.636
_cell_angle_alpha 90.00
_cell_angle_beta 90.00
_cell_angle_gamma 90.00
_space_group_name_H-M_alt 'P m m m'
_space_group_IT_number 47
_space_group_name_Hall '-P 2 2'
loop_
_atom_site_label
_atom_site_fract_x
_atom_site_fract_y
_atom_site_fract_z
Tl1 0.000 0.000 0.000
Cr1 0.500 0.000 0.500
Os1 0.000 0.500 0.500
Os2 0.500 0.500 0.000

---

Model R:
# TlCrOs2 | Alexandria via LeMat-Bulk | meta-GGA SCAN | PBEsol geometry
# - calculated volume (A^3/atom) = 15.32
# - total magnetization (μB/cell) = 0.00
data_TlCrOs2
_chemical_formula_sum 'Tl3 Cr3 Os6'
_cell_length_a 2.8033
_cell_length_b 2.8033
_cell_length_c 27.0105
_cell_angle_alpha 90.00
_cell_angle_beta 90.00
_cell_angle_gamma 120.00
_space_group_name_H-M_alt 'R -3 m'
_space_group_IT_number 166
_space_group_name_Hall '-R 3 2"'
loop_
_atom_site_label
_atom_site_fract_x
_atom_site_fract_y
_atom_site_fract_z
Tl1 0.0000 0.0000 0.0000
Cr1 0.0000 0.0000 0.5000
Os1 0.0000 0.0000 0.2384

---

Calculated relative energies: model P 94; model Q 252; model R 0, given in meV per atom

---

Model P:
# Tl2CrOs | Alexandria via LeMat-Bulk | meta-GGA SCAN | PBEsol geometry
# - calculated volume (A^3/atom) = 18.33
# - total magnetization (μB/cell) = 13.14
data_Tl2CrOs
_chemical_formula_sum 'Tl8 Cr4 Os4'
_cell_length_a 6.644
_cell_length_b 6.644
_cell_length_c 6.644
_cell_angle_alpha 90.00
_cell_angle_beta 90.00
_cell_angle_gamma 90.00
_space_group_name_H-M_alt 'F -4 3 m'
_space_group_IT_number 216
_space_group_name_Hall 'F -4 2 3'
loop_
_atom_site_label
_atom_site_fract_x
_atom_site_fract_y
_atom_site_fract_z
Tl1 0.000 0.000 0.000
Tl2 0.250 0.250 0.250
Cr1 0.250 0.250 0.750
Os1 0.000 0.000 0.500

---

Model Q:
# Tl2CrOs | Alexandria via LeMat-Bulk | meta-GGA SCAN | PBEsol geometry
# - calculated volume (A^3/atom) = 18.55
# - total magnetization (μB/cell) = 12.25
data_Tl2CrOs
_chemical_formula_sum 'Tl6 Cr3 Os3'
_cell_length_a 3.1337
_cell_length_b 3.1337
_cell_length_c 26.1819
_cell_angle_alpha 90.00
_cell_angle_beta 90.00
_cell_angle_gamma 120.00
_space_group_name_H-M_alt 'R -3 m'
_space_group_IT_number 166
_space_group_name_Hall '-R 3 2"'
loop_
_atom_site_label
_atom_site_fract_x
_atom_site_fract_y
_atom_site_fract_z
Tl1 0.0000 0.0000 0.2489
Cr1 0.0000 0.0000 0.0000
Os1 0.0000 0.0000 0.5000

---

Model R:
# Tl2CrOs | Alexandria via LeMat-Bulk | meta-GGA SCAN | PBEsol geometry
# - calculated volume (A^3/atom) = 18.28
# - total magnetization (μB/cell) = 3.52
data_Tl2CrOs
_chemical_formula_sum 'Tl2 Cr1 Os1'
_cell_length_a 3.222
_cell_length_b 4.503
_cell_length_c 5.039
_cell_angle_alpha 90.00
_cell_angle_beta 90.00
_cell_angle_gamma 90.00
_space_group_name_H-M_alt 'P m m m'
_space_group_IT_number 47
_space_group_name_Hall '-P 2 2'
loop_
_atom_site_label
_atom_site_fract_x
_atom_site_fract_y
_atom_site_fract_z
Tl1 0.000 0.000 0.000
Tl2 0.500 0.000 0.500
Cr1 0.000 0.500 0.500
Os1 0.500 0.500 0.000

---

Model S:
# Tl2CrOs | Alexandria via LeMat-Bulk | meta-GGA SCAN | PBEsol geometry
# - calculated volume (A^3/atom) = 18.18
# - total magnetization (μB/cell) = 7.22
data_Tl2CrOs
_chemical_formula_sum 'Tl4 Cr2 Os2'
_cell_length_a 9.059
_cell_length_b 3.179
_cell_length_c 5.159
_cell_angle_alpha 90.00
_cell_angle_beta 101.87
_cell_angle_gamma 90.00
_space_group_name_H-M_alt 'C 1 2/m 1'
_space_group_IT_number 12
_space_group_name_Hall '-C 2y'
loop_
_atom_site_label
_atom_site_fract_x
_atom_site_fract_y
_atom_site_fract_z
Tl1 0.248 0.000 0.247
Cr1 0.000 0.000 0.500
Os1 0.000 0.500 0.000

---

Calculated relative energies: model P 271; model Q 91; model R 85; model S 0, given in meV per atom